First-principles (PBE-GGA) data for a relaxed structure of MnFeSi2H, as listed in the Alexandria database.

Summary:
SG: P4/mmm (123)
Raw total energy: -5.398 eV per atom
Density of states at the Fermi level: 3.32 states/eV/cell
Theoretical density: 3.3 g/cm3

a b c (Å): 4.298 4.535 4.298
angles (deg): 90.00 90.00 90.00
Element x y z (fractional)
Si1 0.500 0.000 0.000
Si2 0.000 0.000 0.500
Fe1 0.000 0.500 0.000
H1 0.500 0.500 0.500
Mn1 0.000 0.000 0.000

First-principles (PBE-GGA) data for a relaxed structure of MnFe2SiH, as listed in the Alexandria database.

Summary:
SG: P4/mmm (123)
Raw total energy: -7.180 eV per atom
Density of states at the Fermi level: 4.22 states/eV/cell
Theoretical density: 7.0 g/cm3

a b c (Å): 3.620 3.620 3.555
angles (deg): 90.00 90.00 90.00
Element x y z (fractional)
Fe1 0.500 0.000 0.000
Mn1 0.000 0.000 0.500
Si1 0.500 0.500 0.500
H1 0.000 0.000 0.000
Fe2 0.000 0.500 0.000

First-principles (PBE-GGA) data for a relaxed structure of Mn2FeSnH, as listed in the Alexandria database.

Summary:
SG: P4/mmm (123)
Raw total energy: -6.836 eV per atom
Density of states at the Fermi level: 3.21 states/eV/cell
Theoretical density: 8.3 g/cm3

a b c (Å): 3.867 3.867 3.839
angles (deg): 90.00 90.00 90.00
Element x y z (fractional)
Fe1 0.000 0.000 0.500
Mn1 0.500 0.000 0.000
Mn2 0.000 0.500 0.000
Sn1 0.500 0.500 0.500
H1 0.000 0.000 0.000

First-principles (PBE-GGA) data for a relaxed structure of TaMnFe2H, as listed in the Alexandria database.

Summary:
SG: P4/mmm (123)
Raw total energy: -8.243 eV per atom
Distance to the lowest polymorph of the same formula: 0.072 eV per atom
Density of states at the Fermi level: 4.08 states/eV/cell
Theoretical density: 10.7 g/cm3

a b c (Å): 3.617 3.617 4.129
angles (deg): 90.00 90.00 90.00
Element x y z (fractional)
Fe1 0.000 0.500 0.000
Fe2 0.500 0.000 0.000
Mn1 0.500 0.500 0.500
H1 0.000 0.000 0.000
Ta1 0.000 0.000 0.500

First-principles (PBE-GGA) data for a relaxed structure of TaMnFe2H, as listed in the Alexandria database.

Summary:
SG: P4/mmm (123)
Raw total energy: -8.315 eV per atom
Distance to the lowest polymorph of the same formula: 0.000 eV per atom
Density of states at the Fermi level: 4.29 states/eV/cell
Theoretical density: 11.2 g/cm3

a b c (Å): 3.729 3.729 3.711
angles (deg): 90.00 90.00 90.00
Element x y z (fractional)
Fe1 0.500 0.000 0.000
Mn1 0.000 0.000 0.500
Ta1 0.500 0.500 0.500
Fe2 0.000 0.500 0.000
H1 0.000 0.000 0.000

First-principles (PBE-GGA) data for a relaxed structure of MnFe2TcH, as listed in the Alexandria database.

Summary:
SG: P4/mmm (123)
Raw total energy: -7.907 eV per atom
Distance to the lowest polymorph of the same formula: 0.011 eV per atom
Density of states at the Fermi level: 5.12 states/eV/cell
Theoretical density: 9.3 g/cm3

a b c (Å): 3.603 3.603 3.665
angles (deg): 90.00 90.00 90.00
Element x y z (fractional)
Fe1 0.500 0.000 0.000
Mn1 0.000 0.000 0.500
Tc1 0.500 0.500 0.500
H1 0.000 0.000 0.000
Fe2 0.000 0.500 0.000

First-principles (PBE-GGA) data for a relaxed structure of Mn2FeTcH, as listed in the Alexandria database.

Summary:
SG: P4/mmm (123)
Raw total energy: -8.053 eV per atom
Distance to the lowest polymorph of the same formula: 0.000 eV per atom
Density of states at the Fermi level: 5.64 states/eV/cell
Theoretical density: 9.1 g/cm3

a b c (Å): 3.664 3.664 3.610
angles (deg): 90.00 90.00 90.00
Element x y z (fractional)
Tc1 0.500 0.500 0.500
H1 0.000 0.000 0.000
Fe1 0.000 0.000 0.500
Mn1 0.000 0.500 0.000
Mn2 0.500 0.000 0.000

First-principles (PBE-GGA) data for a relaxed structure of MnFe2TcH, as listed in the Alexandria database.

Summary:
SG: P4/mmm (123)
Raw total energy: -7.918 eV per atom
Distance to the lowest polymorph of the same formula: 0.000 eV per atom
Density of states at the Fermi level: 3.83 states/eV/cell
Theoretical density: 8.7 g/cm3

a b c (Å): 3.630 3.630 3.828
angles (deg): 90.00 90.00 90.00
Element x y z (fractional)
Fe1 0.500 0.000 0.000
Fe2 0.000 0.500 0.000
Tc1 0.000 0.000 0.500
H1 0.000 0.000 0.000
Mn1 0.500 0.500 0.500